Entry 1:
# KScTi (PBE-GGA, optimized geometry)
data_KScTi
_chemical_formula_sum 'K4 Sc4 Ti4'
_cell_length_a 12.1796
_cell_length_b 3.1100
_cell_length_c 10.0833
_cell_angle_alpha 90.00
_cell_angle_beta 90.00
_cell_angle_gamma 90.00
_symmetry_space_group_name_H-M 'P n m a'
_symmetry_Int_Tables_number 62
loop_
_symmetry_equiv_pos_as_xyz
'x,y,z'
'-x,-y,-z'
'-x+1/2,-y,z+1/2'
'x+1/2,y,-z+1/2'
'x+1/2,-y+1/2,-z+1/2'
'-x+1/2,y+1/2,z+1/2'
'-x,y+1/2,-z'
'x,-y+1/2,z'
loop_
_atom_site_label
_atom_site_fract_x
_atom_site_fract_y
_atom_site_fract_z
K1 0.1527 0.2500 0.0740
Sc1 0.0911 0.2500 0.7112
Ti1 0.0722 0.2500 0.4294
# Formation energy: 0.673 eV/atom
# Fermi-level density of states: 23.471 states/eV/cell



Entry 2:
# Ho3Er6Th (PBE-GGA, optimized geometry)
data_Ho3Er6Th
_chemical_formula_sum 'Ho9 Er18 Th3'
_cell_length_a 9.7227
_cell_length_b 9.7227
_cell_length_c 11.7187
_cell_angle_alpha 90.00
_cell_angle_beta 90.00
_cell_angle_gamma 120.00
_symmetry_space_group_name_H-M 'R 3 2'
_symmetry_Int_Tables_number 155
_symmetry_space_group_name_Hall 'R 3 2"'
loop_
_atom_site_label
_atom_site_fract_x
_atom_site_fract_y
_atom_site_fract_z
Ho1 0.0000 0.0000 0.0000
Ho2 0.0000 0.0000 0.2419
Er1 0.0001 0.3334 0.1667
Er2 0.0000 0.6645 0.0000
Th1 0.0000 0.0000 0.5000
# Formation energy: 0.307 eV/atom
# Fermi-level density of states: 56.003 states/eV/cell



Entry 3:
# PrDy5Y3 (PBE-GGA, optimized geometry)
data_PrDy5Y3
_chemical_formula_sum 'Pr4 Dy20 Y12'
_cell_length_a 16.8603
_cell_length_b 7.9965
_cell_length_c 12.3050
_cell_angle_alpha 90.00
_cell_angle_beta 130.60
_cell_angle_gamma 90.00
_symmetry_space_group_name_H-M 'C 1 2/m 1'
_symmetry_Int_Tables_number 12
loop_
_symmetry_equiv_pos_as_xyz
'x,y,z'
'-x,-y,-z'
'-x,y,-z'
'x,-y,z'
'x+1/2,y+1/2,z'
'-x+1/2,-y+1/2,-z'
'-x+1/2,y+1/2,-z'
'x+1/2,-y+1/2,z'
loop_
_atom_site_label
_atom_site_fract_x
_atom_site_fract_y
_atom_site_fract_z
Pr1 0.2367 0.0000 0.1289
Dy1 0.0000 0.3203 0.0000
Dy2 0.0642 0.2056 0.7799
Dy3 0.1228 0.0000 0.5656
Dy4 0.2006 0.5000 0.0727
Y1 0.0000 0.0000 0.0000
Y2 0.0000 0.5000 0.5000
Y3 0.1198 0.5000 0.3132
Y4 0.1755 0.0000 0.3424
# Formation energy: 0.414 eV/atom
# Fermi-level density of states: 55.540 states/eV/cell



Entry 4:
# CdGe2P (PBE-GGA, optimized geometry)
data_CdGe2P
_chemical_formula_sum 'Cd3 Ge6 P3'
_cell_length_a 3.4682
_cell_length_b 3.4682
_cell_length_c 25.6640
_cell_angle_alpha 90.00
_cell_angle_beta 90.00
_cell_angle_gamma 120.00
_symmetry_space_group_name_H-M 'R -3 m'
_symmetry_Int_Tables_number 166
_symmetry_space_group_name_Hall '-R 3 2"'
loop_
_atom_site_label
_atom_site_fract_x
_atom_site_fract_y
_atom_site_fract_z
Cd1 0.0000 0.0000 0.0000
Ge1 0.0000 0.0000 0.1075
P1 0.0000 0.0000 0.5000
# Formation energy: 0.229 eV/atom
# Fermi-level density of states: 4.044 states/eV/cell



Entry 5:
# SmEr3Pb2 (PBE-GGA, optimized geometry)
data_SmEr3Pb2
_chemical_formula_sum 'Sm4 Er12 Pb8'
_cell_length_a 18.1723
_cell_length_b 4.5723
_cell_length_c 9.5647
_cell_angle_alpha 90.00
_cell_angle_beta 113.17
_cell_angle_gamma 90.00
_symmetry_space_group_name_H-M 'C 1 2/m 1'
_symmetry_Int_Tables_number 12
loop_
_symmetry_equiv_pos_as_xyz
'x,y,z'
'-x,-y,-z'
'-x,y,-z'
'x,-y,z'
'x+1/2,y+1/2,z'
'-x+1/2,-y+1/2,-z'
'-x+1/2,y+1/2,-z'
'x+1/2,-y+1/2,z'
loop_
_atom_site_label
_atom_site_fract_x
_atom_site_fract_y
_atom_site_fract_z
Sm1 0.1141 0.0000 0.1282
Er1 0.0577 0.0000 0.6866
Er2 0.1430 0.5000 0.4856
Er3 0.1920 0.5000 0.8898
Pb1 0.0086 0.5000 0.8463
Pb2 0.2457 0.0000 0.7122
# Formation energy: -0.316 eV/atom
# Fermi-level density of states: 27.558 states/eV/cell



Entry 6:
# Sc2OsCl (PBE-GGA, optimized geometry)
data_Sc2OsCl
_chemical_formula_sum 'Sc4 Os2 Cl2'
_cell_length_a 3.3766
_cell_length_b 5.1096
_cell_length_c 10.0991
_cell_angle_alpha 90.00
_cell_angle_beta 90.00
_cell_angle_gamma 90.00
_symmetry_space_group_name_H-M 'C m m 2'
_symmetry_Int_Tables_number 35
loop_
_symmetry_equiv_pos_as_xyz
'x,y,z'
'-x,-y,z'
'-x,y,z'
'x,-y,z'
'x+1/2,y+1/2,z'
'-x+1/2,-y+1/2,z'
'-x+1/2,y+1/2,z'
'x+1/2,-y+1/2,z'
loop_
_atom_site_label
_atom_site_fract_x
_atom_site_fract_y
_atom_site_fract_z
Sc1 0.0000 0.0000 0.0000
Sc2 0.0000 0.5000 0.2712
Os1 0.0000 0.5000 0.8134
Cl1 0.0000 0.0000 0.4503
# Uncorrected formation energy: -0.122 eV per atom
# Fermi-level density of states: 9.048 states/eV/cell